# Ba3Nb2N4 | Alexandria via LeMat-Bulk | GGA-PBE | optimized geometry
data_Ba3Nb2N4
_cell_length_a 17.864
_cell_length_b 8.639
_cell_length_c 6.259
_cell_angle_alpha 90.00
_cell_angle_beta 109.16
_cell_angle_gamma 90.00
_space_group_name_H-M_alt 'C 1 2/c 1'
_space_group_IT_number 15
_space_group_name_Hall '-C 2yc'
loop_
_atom_site_label
_atom_site_type_symbol
_atom_site_fract_x
_atom_site_fract_y
_atom_site_fract_z
_atom_site_occupancy
Ba1 Ba 0.000 0.221 0.250 1
Ba2 Ba 0.139 0.345 0.867 1
Nb1 Nb 0.214 0.108 0.406 1
N1 N 0.169 0.320 0.453 1
N2 N 0.201 0.075 0.085 1
# Calculated total energy = -7.354 eV/atom
# Uncorrected formation energy = -0.775 eV per atom
# Calculated density = 4.76 g/cm3